Here is a geometry-optimized Mg3Cd6Ag2 structure from Alexandria via LeMat-Bulk. Energies are from PBE-GGA.

```
11
Lattice="0.072 5.375 0.741 -0.538 1.614 5.247 7.077 10.466 16.959" Properties=species:S:1:pos:R:3 pbc="T T T"
Mg 0.000 0.000 0.000
Mg 1.894 9.775 10.023
Mg 4.716 7.680 12.923
Cd 5.870 13.385 16.503
Cd 5.599 11.999 19.157
Cd 0.740 4.070 6.443
Cd 1.011 5.456 3.790
Cd 3.220 10.488 12.981
Cd 3.391 6.967 9.965
Ag 2.389 6.353 7.035
Ag 4.222 11.102 15.911
```

Summary:
Crystal system = triclinic
Total energy = -16.85 eV for the cell shown
D(E_F) = 0.223 states/eV per atom
Size of the total moment = 0.000 μB/f.u.
Formation enthalpy at 0 K = -0.9 eV per formula unit